[1]
## NbGeF (PBE)

Data for crystalline NbGeF at its relaxed geometry.

a = 2.863 Å, b = 2.982 Å, c = 14.764 Å
α = 90.00°, β = 90.00°, γ = 118.69°
Sites, in units of the cell vectors:
Ge  0.454  0.909  0.000
Nb  0.119  0.238  0.853
F  0.793  0.585  0.247
Nb  0.119  0.238  0.147
F  0.793  0.585  0.753
Ge  0.389  0.778  0.500

Output
The value obtained for the mass density is 5.543 g/cm³. The value obtained for the formation energy from raw total energies is -1.020 eV/atom. Its space group is Amm2 (38).



[2]
## Nb3GeF (PBE)

Data for crystalline Nb3GeF at its relaxed geometry.

a = 4.298 Å, b = 4.298 Å, c = 4.298 Å
α = 90.00°, β = 90.00°, γ = 90.00°
Sites, in units of the cell vectors:
Nb  0.500  0.000  0.000
Nb  0.000  0.500  0.000
Ge  0.500  0.500  0.500
F  0.000  0.000  0.000
Nb  0.000  0.000  0.500

Output
The value obtained for the mass density is 7.748 g/cm³. The value obtained for the formation energy from raw total energies is -0.123 eV/atom. Its offset from the most stable computed form is 0.0 meV per atom. Its space group is Pm-3m (221).



[3]
## Rb2NbGeF (PBE)

Data for crystalline Rb2NbGeF at its relaxed geometry.

a = 4.785 Å, b = 6.786 Å, c = 4.785 Å
α = 90.00°, β = 90.00°, γ = 90.00°
Each line ends with the local moment (μB).
Sites, in units of the cell vectors:
Rb  0.000  0.000  0.500  0.01
F  0.000  0.000  0.000  -0.01
Nb  0.500  0.500  0.500  2.20
Rb  0.500  0.000  0.000  0.01
Ge  0.000  0.500  0.000  -0.25

Output
The value obtained for the mass density is 3.800 g/cm³. The value obtained for the formation energy from raw total energies is 0.107 eV/atom. Its space group is P4/mmm (123).